1.
Below is an optimized crystal structure of SrCeAgSn, with properties calculated at the PBE-GGA level.

abc: 7.809 7.809 7.809
angles: 90.00 90.00 90.00
Space group F-43m (No. 216)
Asymmetric unit:
Sr1 0.000 0.000 0.000 [4 per cell]
Ce1 0.000 0.000 0.500 [4 per cell]
Ag1 0.250 0.250 0.750 [4 per cell]
Sn1 0.250 0.250 0.250 [4 per cell]

Values from the calculation:
Energy of formation from the pure elements (meV/atom): -393
DOS(E_F) (states/eV/cell): 36.70


2.
Below is an optimized crystal structure of TbCe2Ag2Sn2, with properties calculated at the PBE-GGA level.

abc: 4.7162 4.7162 27.0837
angles: 90.00 90.00 120.00
Space group R-3m (No. 166, hexagonal axes)
Asymmetric unit:
Tb1 0.0000 0.0000 0.0000 [3 per cell]
Ce1 0.0000 0.0000 0.1432 [6 per cell]
Ag1 0.0000 0.0000 0.4186 [6 per cell]
Sn1 0.0000 0.0000 0.2686 [6 per cell]

Values from the calculation:
Energy of formation from the pure elements (meV/atom): -358
DOS(E_F) (states/eV/cell): 38.51


3.
Below is an optimized crystal structure of TbCeAgSn, with properties calculated at the PBE-GGA level.

abc: 7.534 7.534 7.534
angles: 90.00 90.00 90.00
Space group F-43m (No. 216)
Asymmetric unit:
Tb1 0.000 0.000 0.000 [4 per cell]
Ce1 0.000 0.000 0.500 [4 per cell]
Ag1 0.250 0.250 0.750 [4 per cell]
Sn1 0.250 0.250 0.250 [4 per cell]

Values from the calculation:
Energy of formation from the pure elements (meV/atom): -422
DOS(E_F) (states/eV/cell): 39.37


4.
Below is an optimized crystal structure of CeThAgSn, with properties calculated at the PBE-GGA level.

abc: 7.609 7.609 7.609
angles: 90.00 90.00 90.00
Space group F-43m (No. 216)
Asymmetric unit:
Ce1 0.000 0.000 0.000 [4 per cell]
Th1 0.000 0.000 0.500 [4 per cell]
Ag1 0.250 0.250 0.750 [4 per cell]
Sn1 0.250 0.250 0.250 [4 per cell]

Values from the calculation:
Energy of formation from the pure elements (meV/atom): -278
DOS(E_F) (states/eV/cell): 40.80


5.
Below is an optimized crystal structure of Ce2ThAg2Sn2, with properties calculated at the PBE-GGA level.

abc: 4.7090 4.7090 27.7544
angles: 90.00 90.00 120.00
Space group R-3m (No. 166, hexagonal axes)
Asymmetric unit:
Ce1 0.0000 0.0000 0.1439 [6 per cell]
Th1 0.0000 0.0000 0.0000 [3 per cell]
Ag1 0.0000 0.0000 0.4194 [6 per cell]
Sn1 0.0000 0.0000 0.2667 [6 per cell]

Values from the calculation:
Energy of formation from the pure elements (meV/atom): -301
DOS(E_F) (states/eV/cell): 36.97


6.
Below is an optimized crystal structure of Ce2TmAg2Sn2, with properties calculated at the PBE-GGA level.

abc: 4.7132 4.7132 26.7511
angles: 90.00 90.00 120.00
Space group R-3m (No. 166, hexagonal axes)
Asymmetric unit:
Ce1 0.0000 0.0000 0.1427 [6 per cell]
Tm1 0.0000 0.0000 0.0000 [3 per cell]
Ag1 0.0000 0.0000 0.4166 [6 per cell]
Sn1 0.0000 0.0000 0.2701 [6 per cell]

Values from the calculation:
Energy of formation from the pure elements (meV/atom): -324
DOS(E_F) (states/eV/cell): 37.63


7.
Below is an optimized crystal structure of CeYAgSn, with properties calculated at the PBE-GGA level.

abc: 7.526 7.526 7.526
angles: 90.00 90.00 90.00
Space group F-43m (No. 216)
Asymmetric unit:
Ce1 0.000 0.000 0.000 [4 per cell]
Y1 0.000 0.000 0.500 [4 per cell]
Ag1 0.250 0.250 0.750 [4 per cell]
Sn1 0.250 0.250 0.250 [4 per cell]

Values from the calculation:
Energy of formation from the pure elements (meV/atom): -434
DOS(E_F) (states/eV/cell): 40.40


8.
Below is an optimized crystal structure of CeZnAgSn, with properties calculated at the PBE-GGA level.

abc: 7.076 7.076 7.076
angles: 90.00 90.00 90.00
Space group F-43m (No. 216)
Asymmetric unit:
Ce1 0.000 0.000 0.000 [4 per cell]
Zn1 0.250 0.250 0.250 [4 per cell]
Ag1 0.250 0.250 0.750 [4 per cell]
Sn1 0.000 0.000 0.500 [4 per cell]

Values from the calculation:
Energy of formation from the pure elements (meV/atom): -305
DOS(E_F) (states/eV/cell): 25.40


9.
Below is an optimized crystal structure of CeZrAgSn, with properties calculated at the PBE-GGA level.

abc: 7.319 7.319 7.319
angles: 90.00 90.00 90.00
Space group F-43m (No. 216)
Asymmetric unit:
Ce1 0.000 0.000 0.000 [4 per cell]
Zr1 0.000 0.000 0.500 [4 per cell]
Ag1 0.250 0.250 0.750 [4 per cell]
Sn1 0.250 0.250 0.250 [4 per cell]

Values from the calculation:
Energy of formation from the pure elements (meV/atom): -235
DOS(E_F) (states/eV/cell): 31.80


10.
Below is an optimized crystal structure of Sr2CeAg6, with properties calculated at the PBE-GGA level.

abc: 8.4198 8.4198 3.7919
angles: 90.00 90.00 120.00
Space group P6/mmm (No. 191)
Asymmetric unit:
Sr1 0.3333 0.6667 0.0000 [2 per cell]
Ce1 0.0000 0.0000 0.0000 [1 per cell]
Ag1 0.0000 0.3308 0.5000 [6 per cell]

Values from the calculation:
Energy of formation from the pure elements (meV/atom): -214
DOS(E_F) (states/eV/cell): 10.26


11.
Below is an optimized crystal structure of Sr2CeAg, with properties calculated at the PBE-GGA level.

abc: 3.8470 3.8470 36.1371
angles: 90.00 90.00 120.00
Space group R-3m (No. 166, hexagonal axes)
Asymmetric unit:
Sr1 0.0000 0.0000 0.1016 [6 per cell]
Ce1 0.0000 0.0000 0.0000 [3 per cell]
Ag1 0.0000 0.0000 0.5000 [3 per cell]

Values from the calculation:
Energy of formation from the pure elements (meV/atom): 295
DOS(E_F) (states/eV/cell): 27.31


12.
Below is an optimized crystal structure of SrCe2Ag6, with properties calculated at the PBE-GGA level.

abc: 8.4829 8.4829 3.4980
angles: 90.00 90.00 120.00
Space group P6/mmm (No. 191)
Asymmetric unit:
Sr1 0.0000 0.0000 0.0000 [1 per cell]
Ce1 0.3333 0.6667 0.0000 [2 per cell]
Ag1 0.0000 0.3352 0.5000 [6 per cell]

Values from the calculation:
Energy of formation from the pure elements (meV/atom): -165
DOS(E_F) (states/eV/cell): 16.15


13.
Below is an optimized crystal structure of Ce2TaAg, with properties calculated at the PBE-GGA level.

abc: 2.9968 2.9968 34.1877
angles: 90.00 90.00 120.00
Space group R-3m (No. 166, hexagonal axes)
Asymmetric unit:
Ce1 0.0000 0.0000 0.0839 [6 per cell]
Ta1 0.0000 0.0000 0.0000 [3 per cell]
Ag1 0.0000 0.0000 0.5000 [3 per cell]

Values from the calculation:
Energy of formation from the pure elements (meV/atom): 333
DOS(E_F) (states/eV/cell): 20.16


14.
Below is an optimized crystal structure of Tb2CeAg, with properties calculated at the PBE-GGA level.

abc: 3.622 3.622 8.292
angles: 90.00 90.00 90.00
Space group P4/mmm (No. 123)
Asymmetric unit:
Tb1 0.000 0.000 0.220 [2 per cell]
Ce1 0.500 0.500 0.500 [1 per cell]
Ag1 0.500 0.500 0.000 [1 per cell]

Values from the calculation:
Energy of formation from the pure elements (meV/atom): -93
Energy above the lowest structure with this stoichiometry (meV per atom): 0.0
DOS(E_F) (states/eV/cell): 6.42


15.
Below is an optimized crystal structure of TbCeAg2, with properties calculated at the PBE-GGA level.

abc: 7.389 7.389 7.389
angles: 90.00 90.00 90.00
Space group Fm-3m (No. 225)
Asymmetric unit:
Tb1 0.000 0.000 0.000 [4 per cell]
Ce1 0.000 0.000 0.500 [4 per cell]
Ag1 0.250 0.250 0.250 [8 per cell]

Values from the calculation:
Energy of formation from the pure elements (meV/atom): -165
Energy above the lowest structure with this stoichiometry (meV per atom): 18.9
DOS(E_F) (states/eV/cell): 38.71


16.
Below is an optimized crystal structure of TbCeAg2, with properties calculated at the PBE-GGA level.

abc: 3.615 3.615 7.678
angles: 90.00 90.00 90.00
Space group P4/mmm (No. 123)
Asymmetric unit:
Tb1 0.000 0.000 0.000 [1 per cell]
Ce1 0.000 0.000 0.500 [1 per cell]
Ag1 0.500 0.500 0.232 [2 per cell]

Values from the calculation:
Energy of formation from the pure elements (meV/atom): -184
Energy above the lowest structure with this stoichiometry (meV per atom): 0.0
DOS(E_F) (states/eV/cell): 8.16


17.
Below is an optimized crystal structure of Tb2CeAg3, with properties calculated at the PBE-GGA level.

abc: 3.631 3.631 11.312
angles: 90.00 90.00 90.00
Space group P4/mmm (No. 123)
Asymmetric unit:
Tb1 0.000 0.000 0.163 [2 per cell]
Ce1 0.000 0.000 0.500 [1 per cell]
Ag1 0.500 0.500 0.000 [1 per cell]
Ag2 0.500 0.500 0.319 [2 per cell]

Values from the calculation:
Energy of formation from the pure elements (meV/atom): -227
DOS(E_F) (states/eV/cell): 9.34


18.
Below is an optimized crystal structure of Tb2CeAg, with properties calculated at the PBE-GGA level.

abc: 5.448 5.448 3.562
angles: 90.00 90.00 90.00
Space group P4/mmm (No. 123)
Asymmetric unit:
Tb1 0.000 0.500 0.000 [2 per cell]
Ce1 0.000 0.000 0.500 [1 per cell]
Ag1 0.500 0.500 0.500 [1 per cell]

Values from the calculation:
Energy of formation from the pure elements (meV/atom): 16
Energy above the lowest structure with this stoichiometry (meV per atom): 109.4
DOS(E_F) (states/eV/cell): 7.48


19.
Below is an optimized crystal structure of Tb12Ce5Ag3, with properties calculated at the PBE-GGA level.

abc: 17.217 17.217 17.217
angles: 90.00 90.00 90.00
Space group Ia-3d (No. 230)
Asymmetric unit:
Tb1 0.016 0.079 0.654 [96 per cell]
Ce1 0.000 0.000 0.000 [16 per cell]
Ce2 0.000 0.250 0.375 [24 per cell]
Ag1 0.000 0.250 0.125 [24 per cell]

Values from the calculation:
Energy of formation from the pure elements (meV/atom): 815
DOS(E_F) (states/eV/cell): 371.19


20.
Below is an optimized crystal structure of Tb2CeAg, with properties calculated at the PBE-GGA level.

abc: 7.515 7.515 7.515
angles: 90.00 90.00 90.00
Space group Fm-3m (No. 225)
Asymmetric unit:
Tb1 0.250 0.250 0.250 [8 per cell]
Ce1 0.000 0.000 0.000 [4 per cell]
Ag1 0.000 0.000 0.500 [4 per cell]

Values from the calculation:
Energy of formation from the pure elements (meV/atom): 129
Energy above the lowest structure with this stoichiometry (meV per atom): 222.3
DOS(E_F) (states/eV/cell): 33.23


21.
Below is an optimized crystal structure of Tb2CeAg, with properties calculated at the PBE-GGA level.

abc: 3.4967 3.4967 31.9811
angles: 90.00 90.00 120.00
Space group R3m (No. 160, hexagonal axes)
Asymmetric unit:
Tb1 0.0000 0.0000 0.0000 [3 per cell]
Tb2 0.0000 0.0000 0.1833 [3 per cell]
Ce1 0.0000 0.0000 0.7587 [3 per cell]
Ag1 0.0000 0.0000 0.5916 [3 per cell]

Values from the calculation:
Energy of formation from the pure elements (meV/atom): 41
Energy above the lowest structure with this stoichiometry (meV per atom): 134.1
DOS(E_F) (states/eV/cell): 19.65


22.
Below is an optimized crystal structure of Tb5CeAg4, with properties calculated at the PBE-GGA level.

abc: 3.620 3.620 19.461
angles: 90.00 90.00 90.00
Space group P4/mmm (No. 123)
Asymmetric unit:
Tb1 0.000 0.000 0.000 [1 per cell]
Tb2 0.000 0.000 0.191 [2 per cell]
Tb3 0.000 0.000 0.380 [2 per cell]
Ce1 0.500 0.500 0.500 [1 per cell]
Ag1 0.500 0.500 0.095 [2 per cell]
Ag2 0.500 0.500 0.285 [2 per cell]

Values from the calculation:
Energy of formation from the pure elements (meV/atom): -228
DOS(E_F) (states/eV/cell): 9.01


23.
Below is an optimized crystal structure of TbCeTlAg, with properties calculated at the PBE-GGA level.

abc: 7.573 7.573 7.573
angles: 90.00 90.00 90.00
Space group F-43m (No. 216)
Asymmetric unit:
Tb1 0.000 0.000 0.000 [4 per cell]
Ce1 0.000 0.000 0.500 [4 per cell]
Tl1 0.250 0.250 0.250 [4 per cell]
Ag1 0.250 0.250 0.750 [4 per cell]

Values from the calculation:
Energy of formation from the pure elements (meV/atom): -217
DOS(E_F) (states/eV/cell): 43.59


24.
Below is an optimized crystal structure of TbCeTmAg, with properties calculated at the PBE-GGA level.

abc: 7.475 7.475 7.475
angles: 90.00 90.00 90.00
Space group F-43m (No. 216)
Asymmetric unit:
Tb1 0.000 0.000 0.000 [4 per cell]
Ce1 0.250 0.250 0.250 [4 per cell]
Tm1 0.000 0.000 0.500 [4 per cell]
Ag1 0.250 0.250 0.750 [4 per cell]

Values from the calculation:
Energy of formation from the pure elements (meV/atom): 133
DOS(E_F) (states/eV/cell): 33.52